*w*
The following is a DFT calculation (GGA-PBE) of a geometry-optimized Cu2PtAu8 structure.

a b c (Å): 7.5304 7.5304 6.5038
angles (deg): 106.41 106.41 31.72
Last column: nearest neighbours and their distance in Å.
Fractional coordinates of all 11 atoms:
Cu: 0.2261 0.2261 0.1396  10 Au 2.74-2.93, 2 Cu 2.96
Cu: 0.7739 0.7739 0.8604  10 Au 2.74-2.93, 2 Cu 2.96
Pt: 0.5000 0.5000 0.5000  12 Au 2.84-2.95
Au: 0.0460 0.0460 0.2301  1 Cu 2.84, 9 Au 2.86-2.98, 2 Pt 2.91
Au: 0.1442 0.1442 0.7023  3 Cu 2.74-2.77, 7 Au 2.85-2.98, 2 Pt 2.95
Au: 0.3184 0.3184 0.5843  3 Cu 2.81-2.93, 1 Pt 2.84, 8 Au 2.84-2.93
Au: 0.4000 0.4000 0.0392  3 Cu 2.77-2.78, 8 Au 2.85-3.08, 1 Pt 2.92
Au: 0.6000 0.6000 0.9608  3 Cu 2.77-2.78, 8 Au 2.85-3.08, 1 Pt 2.92
Au: 0.6816 0.6816 0.4157  3 Cu 2.81-2.93, 1 Pt 2.84, 8 Au 2.84-2.93
Au: 0.8558 0.8558 0.2977  3 Cu 2.74-2.77, 7 Au 2.85-2.98, 2 Pt 2.95
Au: 0.9540 0.9540 0.7699  1 Cu 2.84, 9 Au 2.86-2.98, 2 Pt 2.91

Results
Density, g/cm³: 17.00

=====

*x*
The following is a DFT calculation (GGA-PBE) of a geometry-optimized Cu2PtAu8 structure.

a b c (Å): 7.5237 7.5237 7.5237
angles (deg): 147.10 123.62 66.84
Last column: nearest neighbours and their distance in Å.
Fractional coordinates of all 11 atoms:
Cu: 0.1918 0.1918 0.0000  10 Au 2.67-2.87
Cu: 0.8082 0.8082 0.0000  10 Au 2.67-2.87
Pt: 0.5000 0.5000 0.0000  12 Au 2.81-3.03
Au: 0.0604 0.3440 0.7165  3 Cu 2.67-2.78, 1 Pt 2.81, 5 Au 2.83-2.93
Au: 0.1973 0.0000 0.1973  2 Cu 2.79, 7 Au 2.81-2.90, 2 Pt 3.03
Au: 0.3454 0.8454 0.5000  8 Au 2.83-2.93, 2 Cu 2.87, 2 Pt 2.88
Au: 0.3725 0.6560 0.7165  3 Cu 2.67-2.78, 1 Pt 2.81, 5 Au 2.83-2.93
Au: 0.6275 0.3440 0.2835  3 Cu 2.67-2.78, 1 Pt 2.81, 5 Au 2.83-2.93
Au: 0.6546 0.1546 0.5000  8 Au 2.83-2.93, 2 Cu 2.87, 2 Pt 2.88
Au: 0.8027 0.0000 0.8027  2 Cu 2.79, 7 Au 2.81-2.90, 2 Pt 3.03
Au: 0.9396 0.6560 0.2835  3 Cu 2.67-2.78, 1 Pt 2.81, 5 Au 2.83-2.93

Results
Density, g/cm³: 16.57

=====

The calculated energies rank the structures as follows, beginning with the most stable: *w*, *x*.

=====

*w*
The following is a DFT calculation (GGA-PBE) of a geometry-optimized CuPt3Au structure.

a b c (Å): 5.4913 5.4913 7.3682
angles (deg): 111.88 111.88 50.97
Last column: nearest neighbours and their distance in Å.
Fractional coordinates of all 10 atoms:
Cu: 0.0454 0.0454 0.3491  6 Pt 2.66-2.83, 1 Cu 2.72, 3 Au 2.74-2.75
Cu: 0.9546 0.9546 0.6509  6 Pt 2.66-2.83, 1 Cu 2.72, 3 Au 2.74-2.75
Pt: 0.1458 0.1458 0.0505  7 Pt 2.67-2.78, 2 Cu 2.76-2.77, 1 Au 2.83
Pt: 0.2460 0.2460 0.7555  2 Cu 2.66-2.83, 5 Pt 2.74-2.82, 3 Au 2.76-2.77
Pt: 0.4478 0.4478 0.1488  6 Pt 2.73-2.82, 2 Cu 2.74, 2 Au 2.77-2.84
Pt: 0.5522 0.5522 0.8512  6 Pt 2.73-2.82, 2 Cu 2.74, 2 Au 2.77-2.84
Pt: 0.7540 0.7540 0.2445  2 Cu 2.66-2.83, 5 Pt 2.74-2.82, 3 Au 2.76-2.77
Pt: 0.8542 0.8542 0.9495  7 Pt 2.67-2.78, 2 Cu 2.76-2.77, 1 Au 2.83
Au: 0.3463 0.3463 0.4575  3 Cu 2.74-2.75, 6 Pt 2.76-2.84, 1 Au 2.85
Au: 0.6537 0.6537 0.5425  3 Cu 2.74-2.75, 6 Pt 2.76-2.84, 1 Au 2.85

Results
Density, g/cm³: 17.87

=====

*x*
The following is a DFT calculation (GGA-PBE) of a geometry-optimized CuPt3Au structure.

a b c (Å): 4.5623 4.5623 4.5623
angles (deg): 90.00 90.00 90.00
Last column: nearest neighbours and their distance in Å.
Fractional coordinates of all 5 atoms:
Cu: 0.0000 0.0000 0.0000  6 Pt 2.28
Pt: 0.0000 0.0000 0.5000  2 Cu 2.28
Pt: 0.0000 0.5000 0.0000  2 Cu 2.28
Pt: 0.5000 0.0000 0.0000  2 Cu 2.28
Au: 0.5000 0.5000 0.5000  12 Pt 3.23

Results
Density, g/cm³: 14.79

=====

The calculated energies rank the structures as follows, beginning with the most stable: *w*, *x*.

=====

*w*
The following is a DFT calculation (GGA-PBE) of a geometry-optimized Cu2PtAu3 structure.

a b c (Å): 4.6865 6.6268 6.8322
angles (deg): 68.39 85.19 74.77
Last column: nearest neighbours and their distance in Å.
Fractional coordinates of all 12 atoms:
Cu: 0.0540 0.1069 0.3040  2 Cu 2.61-2.68, 3 Pt 2.67-2.83, 5 Au 2.69-2.81
Cu: 0.2903 0.8886 0.0441  4 Cu 2.66-2.97, 2 Pt 2.67-2.80, 5 Au 2.69-2.77
Cu: 0.7097 0.1114 0.9559  4 Cu 2.66-2.97, 2 Pt 2.67-2.80, 5 Au 2.69-2.77
Cu: 0.9460 0.8931 0.6960  2 Cu 2.61-2.68, 3 Pt 2.67-2.83, 5 Au 2.69-2.81
Pt: 0.3745 0.1080 0.6373  5 Cu 2.67-2.83, 1 Pt 2.77, 5 Au 2.78-2.86
Pt: 0.6255 0.8920 0.3627  5 Cu 2.67-2.83, 1 Pt 2.77, 5 Au 2.78-2.86
Au: 0.1197 0.3465 0.8956  4 Cu 2.69-2.77, 1 Pt 2.78, 6 Au 2.85-2.98
Au: 0.2052 0.6355 0.4547  3 Cu 2.75-2.81, 2 Pt 2.78-2.82, 6 Au 2.85-2.98
Au: 0.4769 0.3587 0.2086  3 Cu 2.77-2.80, 2 Pt 2.78-2.86, 6 Au 2.80-2.93
Au: 0.5231 0.6413 0.7914  3 Cu 2.77-2.80, 2 Pt 2.78-2.86, 6 Au 2.80-2.93
Au: 0.7948 0.3645 0.5453  3 Cu 2.75-2.81, 2 Pt 2.78-2.82, 6 Au 2.85-2.98
Au: 0.8803 0.6535 0.1044  4 Cu 2.69-2.77, 1 Pt 2.78, 6 Au 2.85-2.98

Results
Density, g/cm³: 15.93

=====

*x*
The following is a DFT calculation (GGA-PBE) of a geometry-optimized Cu2PtAu3 structure.

a b c (Å): 9.0167 9.0167 8.2595
angles (deg): 106.11 106.11 17.83
Last column: nearest neighbours and their distance in Å.
Fractional coordinates of all 12 atoms:
Cu: 0.0920 0.0920 0.1676  4 Cu 2.63-2.79, 2 Pt 2.64, 4 Au 2.66-2.77
Cu: 0.2993 0.2993 0.6173  6 Cu 2.62-2.79, 4 Au 2.64-2.70, 1 Pt 2.68
Cu: 0.7007 0.7007 0.3827  6 Cu 2.62-2.79, 4 Au 2.64-2.70, 1 Pt 2.68
Cu: 0.9080 0.9080 0.8324  4 Cu 2.63-2.79, 2 Pt 2.64, 4 Au 2.66-2.77
Pt: 0.3077 0.3077 0.9462  3 Cu 2.64-2.68, 4 Pt 2.79-2.83, 5 Au 2.86-2.91
Pt: 0.6923 0.6923 0.0538  3 Cu 2.64-2.68, 4 Pt 2.79-2.83, 5 Au 2.86-2.91
Au: 0.0636 0.0636 0.8335  2 Cu 2.66-2.77, 4 Au 2.79-2.87, 2 Pt 2.86
Au: 0.3149 0.3149 0.3023  3 Cu 2.69-2.70, 3 Au 2.78-2.79, 3 Pt 2.90-2.91
Au: 0.4431 0.4431 0.5869  3 Cu 2.64-2.68, 6 Au 2.78-2.87
Au: 0.5569 0.5569 0.4131  3 Cu 2.64-2.68, 6 Au 2.78-2.87
Au: 0.6851 0.6851 0.6977  3 Cu 2.69-2.70, 3 Au 2.78-2.79, 3 Pt 2.90-2.91
Au: 0.9364 0.9364 0.1665  2 Cu 2.66-2.77, 4 Au 2.79-2.87, 2 Pt 2.86

Results
Density, g/cm³: 15.37

=====

The calculated energies rank the structures as follows, beginning with the most stable: *w*, *x*.

=====

*w*
The following is a DFT calculation (GGA-PBE) of a geometry-optimized CuPt2Au6 structure.

a b c (Å): 7.1314 7.1314 7.4395
angles (deg): 114.43 114.43 87.69
Last column: nearest neighbours and their distance in Å.
Fractional coordinates of all 18 atoms:
Cu: 0.1382 0.8618 0.7500  4 Pt 2.70-2.84, 6 Au 2.76-2.87
Cu: 0.8618 0.1382 0.2500  4 Pt 2.70-2.84, 6 Au 2.76-2.87
Pt: 0.1995 0.4620 0.5835  2 Cu 2.70-2.84, 2 Pt 2.73-2.89, 6 Au 2.79-2.94
Pt: 0.4620 0.1995 0.0835  2 Cu 2.70-2.84, 2 Pt 2.73-2.89, 6 Au 2.79-2.94
Pt: 0.5380 0.8005 0.9165  2 Cu 2.70-2.84, 2 Pt 2.73-2.89, 6 Au 2.79-2.94
Pt: 0.8005 0.5380 0.4165  2 Cu 2.70-2.84, 2 Pt 2.73-2.89, 6 Au 2.79-2.94
Au: 0.0092 0.7815 0.3166  2 Cu 2.76-2.87, 7 Au 2.79-2.94, 1 Pt 2.82
Au: 0.0947 0.3540 0.1444  2 Pt 2.79-2.94, 7 Au 2.79-2.93, 1 Cu 2.83
Au: 0.2185 0.9908 0.1834  2 Cu 2.76-2.87, 7 Au 2.79-2.94, 1 Pt 2.82
Au: 0.3210 0.5664 0.0259  3 Pt 2.79-2.90, 7 Au 2.81-2.94
Au: 0.3540 0.0947 0.6444  2 Pt 2.79-2.94, 7 Au 2.79-2.93, 1 Cu 2.83
Au: 0.4336 0.6790 0.4741  3 Pt 2.79-2.90, 7 Au 2.81-2.94
Au: 0.5664 0.3210 0.5259  3 Pt 2.79-2.90, 7 Au 2.81-2.94
Au: 0.6460 0.9053 0.3556  2 Pt 2.79-2.94, 7 Au 2.79-2.93, 1 Cu 2.83
Au: 0.6790 0.4336 0.9741  3 Pt 2.79-2.90, 7 Au 2.81-2.94
Au: 0.7815 0.0092 0.8166  2 Cu 2.76-2.87, 7 Au 2.79-2.94, 1 Pt 2.82
Au: 0.9053 0.6460 0.8556  2 Pt 2.79-2.94, 7 Au 2.79-2.93, 1 Cu 2.83
Au: 0.9908 0.2185 0.6834  2 Cu 2.76-2.87, 7 Au 2.79-2.94, 1 Pt 2.82

Results
Density, g/cm³: 17.54

=====

*x*
The following is a DFT calculation (GGA-PBE) of a geometry-optimized CuPt2Au6 structure.

a b c (Å): 4.9563 4.9563 8.7971
angles (deg): 106.41 106.41 47.95
Last column: nearest neighbours and their distance in Å.
Fractional coordinates of all 9 atoms:
Cu: 0.0000 0.0000 0.0000  12 Au 2.83-2.92
Pt: 0.3350 0.3350 0.4475  3 Pt 2.84-2.86, 9 Au 2.86-2.99
Pt: 0.6650 0.6650 0.5525  3 Pt 2.84-2.86, 9 Au 2.86-2.99
Au: 0.0025 0.0025 0.3325  6 Au 2.86-2.96, 5 Pt 2.86-2.89, 1 Cu 2.92
Au: 0.3330 0.3330 0.7802  7 Au 2.85-2.89, 2 Cu 2.88, 3 Pt 2.92-2.93
Au: 0.3360 0.3360 0.1073  3 Cu 2.83-2.89, 8 Au 2.85-2.90, 1 Pt 2.99
Au: 0.6640 0.6640 0.8927  3 Cu 2.83-2.89, 8 Au 2.85-2.90, 1 Pt 2.99
Au: 0.6670 0.6670 0.2198  7 Au 2.85-2.89, 2 Cu 2.88, 3 Pt 2.92-2.93
Au: 0.9975 0.9975 0.6675  6 Au 2.86-2.96, 5 Pt 2.86-2.89, 1 Cu 2.92

Results
Density, g/cm³: 17.80

=====

The calculated energies rank the structures as follows, beginning with the most stable: *x*, *w*.

=====

*w*
The following is a DFT calculation (GGA-PBE) of a geometry-optimized CuPt2Au8 structure.

a b c (Å): 7.6718 7.6718 6.4517
angles (deg): 104.53 104.53 30.96
Last column: nearest neighbours and their distance in Å.
Fractional coordinates of all 11 atoms:
Cu: 0.0000 0.0000 0.0000  12 Au 2.85-2.89
Pt: 0.2733 0.2733 0.3672  10 Au 2.86-2.92, 2 Pt 2.87
Pt: 0.7267 0.7267 0.6328  10 Au 2.86-2.92, 2 Pt 2.87
Au: 0.0913 0.0913 0.4509  8 Au 2.86-2.95, 1 Cu 2.87, 3 Pt 2.88-2.89
Au: 0.1806 0.1806 0.9114  1 Cu 2.87, 8 Au 2.88-2.94, 3 Pt 2.90-2.92
Au: 0.3647 0.3647 0.8168  7 Au 2.85-2.94, 3 Pt 2.86-2.92, 2 Cu 2.89
Au: 0.4545 0.4545 0.2642  9 Au 2.85-2.99, 2 Cu 2.85, 1 Pt 2.92
Au: 0.5455 0.5455 0.7358  9 Au 2.85-2.99, 2 Cu 2.85, 1 Pt 2.92
Au: 0.6353 0.6353 0.1832  7 Au 2.85-2.94, 3 Pt 2.86-2.92, 2 Cu 2.89
Au: 0.8194 0.8194 0.0886  1 Cu 2.87, 8 Au 2.88-2.94, 3 Pt 2.90-2.92
Au: 0.9087 0.9087 0.5491  8 Au 2.86-2.95, 1 Cu 2.87, 3 Pt 2.88-2.89

Results
Density, g/cm³: 17.87

=====

*x*
The following is a DFT calculation (GGA-PBE) of a geometry-optimized CuPt2Au8 structure.

a b c (Å): 6.8544 6.8544 4.4078
angles (deg): 90.00 90.00 105.16
Last column: nearest neighbours and their distance in Å.
Fractional coordinates of all 11 atoms:
Cu: 0.0000 0.0000 0.0000  4 Au 2.61-2.72
Pt: 0.3792 0.6208 0.5000  1 Pt 2.63, 4 Au 2.68-2.77
Pt: 0.6208 0.3792 0.5000  1 Pt 2.63, 4 Au 2.68-2.77
Au: 0.0358 0.2991 0.5000  2 Pt 2.77-3.04, 7 Au 2.79-2.94, 2 Cu 2.98
Au: 0.2396 0.7604 0.0000  1 Cu 2.61, 2 Pt 2.68, 4 Au 2.86
Au: 0.2991 0.0358 0.5000  2 Pt 2.77-3.04, 7 Au 2.79-2.94, 2 Cu 2.98
Au: 0.3264 0.3264 0.0000  1 Cu 2.72, 5 Au 2.89-2.94, 4 Pt 2.95
Au: 0.6736 0.6736 0.0000  1 Cu 2.72, 5 Au 2.89-2.94, 4 Pt 2.95
Au: 0.7009 0.9642 0.5000  2 Pt 2.77-3.04, 7 Au 2.79-2.94, 2 Cu 2.98
Au: 0.7604 0.2396 0.0000  1 Cu 2.61, 2 Pt 2.68, 4 Au 2.86
Au: 0.9642 0.7009 0.5000  2 Pt 2.77-3.04, 7 Au 2.79-2.94, 2 Cu 2.98

Results
Density, g/cm³: 16.86

=====

The calculated energies rank the structures as follows, beginning with the most stable: *w*, *x*.